[1]
Below is a geometry-optimized Dy4TmN5 structure, with properties calculated at the PBE level.

Properties
Electronic total energy, Ry/atom: -0.6011
Spin magnetization, μB per formula unit: 0.00
Crystal system: tetragonal

Unit cell a=4.893 b=5.992 c=5.992 alpha=80.40 beta=65.90 gamma=65.90
Sites, in units of the cell vectors:
Dy  0.401  0.400  0.801
Dy  0.801  0.801  0.600
Dy  0.202  0.199  0.400
Dy  0.601  0.600  0.199
Tm  0.001  0.000  0.000
N  0.902  0.396  0.802
N  0.298  0.802  0.604
N  0.703  0.198  0.396
N  0.100  0.604  0.198
N  0.501  0.000  0.000

[2]
Below is a geometry-optimized Tc2C structure, with properties calculated at the PBE level.

Properties
Electronic total energy, Ry/atom: -0.6752
ΔH_f (0 K), eV per atom: 0.798
Spin magnetization, μB per formula unit: 0.00
Polymorph energy (0 for the lowest one), meV/atom: 724.0
Crystal system: orthorhombic

Unit cell a=9.825 b=9.825 c=9.825 alpha=164.11 beta=163.96 gamma=22.65
Sites, in units of the cell vectors:
Tc  0.940  0.690  0.250
Tc  0.060  0.310  0.750
Tc  0.804  0.554  0.250
Tc  0.196  0.446  0.750
C  0.387  0.137  0.250
C  0.613  0.863  0.750

[3]
Below is a geometry-optimized GdCdGa structure, with properties calculated at the PBE level.

Properties
Electronic total energy, Ry/atom: -0.4760
ΔH_f (0 K), eV per atom: -0.469
Spin magnetization, μB per formula unit: 7.36
Crystal system: hexagonal

Unit cell a=3.591 b=4.705 c=4.705 alpha=120.00 beta=90.00 gamma=90.00
Each line ends with the local moment (μB).
Sites, in units of the cell vectors:
Gd  0.667  0.667  0.333  7.15
Ga  0.167  0.000  0.000  -0.02
Cd  0.167  0.333  0.667  0.00

[4]
Below is a geometry-optimized TmZrBeNi structure, with properties calculated at the PBE level.

Properties
Electronic total energy, Ry/atom: -0.4229
ΔH_f (0 K), eV per atom: -0.122
Spin magnetization, μB per formula unit: 0.00
Crystal system: cubic

Unit cell a=4.630 b=4.630 c=4.630 alpha=60.00 beta=60.00 gamma=60.00
Sites, in units of the cell vectors:
Ni  0.250  0.250  0.250
Tm  0.500  0.500  0.500
Zr  0.000  0.000  0.000
Be  0.750  0.750  0.750

[5]
Below is a geometry-optimized ThGe2Os2 structure, with properties calculated at the PBE level.

Properties
Electronic total energy, Ry/atom: -0.6071
ΔH_f (0 K), eV per atom: -0.437
Spin magnetization, μB per formula unit: 0.00
Polymorph energy (0 for the lowest one), meV/atom: 0.0
Crystal system: tetragonal

Unit cell a=5.868 b=5.868 c=5.868 alpha=136.88 beta=136.88 gamma=62.62
Sites, in units of the cell vectors:
Th  0.000  0.000  0.000
Ge  0.372  0.372  0.000
Ge  0.628  0.628  0.000
Os  0.250  0.750  0.500
Os  0.750  0.250  0.500

[6]
Below is a geometry-optimized Pr4NdSm2 structure, with properties calculated at the PBE level.

Properties
Electronic total energy, Ry/atom: -0.3370
ΔH_f (0 K), eV per atom: 0.175
Spin magnetization, μB per formula unit: 0.00
Polymorph energy (0 for the lowest one), meV/atom: 66.7
Crystal system: monoclinic

Unit cell a=7.177 b=7.116 c=10.582 alpha=90.00 beta=90.01 gamma=107.73
Sites, in units of the cell vectors:
Pr  0.270  0.308  0.287
Pr  0.731  0.191  0.216
Pr  0.269  0.809  0.784
Pr  0.730  0.692  0.713
Pr  0.730  0.692  0.287
Pr  0.731  0.191  0.784
Pr  0.269  0.809  0.216
Pr  0.270  0.308  0.713
Nd  0.500  0.500  0.000
Nd  0.000  0.500  0.000
Sm  0.000  0.000  0.000
Sm  0.000  0.000  0.500
Sm  0.000  0.500  0.500
Sm  0.500  0.000  0.500

[7]
Below is a geometry-optimized LiPmY2Se4 structure, with properties calculated at the PBE level.

Properties
Electronic total energy, Ry/atom: -0.4375
Spin magnetization, μB per formula unit: 0.00
Crystal system: monoclinic

Unit cell a=4.083 b=7.102 c=7.105 alpha=109.25 beta=90.00 gamma=90.00
Sites, in units of the cell vectors:
Li  0.500  0.500  0.000
Pm  0.000  0.000  0.000
Y  0.500  0.000  0.500
Y  0.000  0.500  0.500
Se  0.500  0.260  0.252
Se  0.500  0.740  0.748
Se  0.000  0.258  0.752
Se  0.000  0.742  0.248

[8]
Below is a geometry-optimized Cs2TlBi4Pb3 structure, with properties calculated at the PBE level.

Properties
Electronic total energy, Ry/atom: -0.2392
ΔH_f (0 K), eV per atom: -0.182
Spin magnetization, μB per formula unit: 0.00
Crystal system: tetragonal

Unit cell a=5.524 b=5.524 c=13.568 alpha=90.00 beta=90.00 gamma=90.00
Sites, in units of the cell vectors:
Cs  0.500  0.000  0.248
Cs  0.000  0.500  0.752
Tl  0.500  0.500  0.500
Bi  0.500  0.500  0.000
Bi  0.000  0.000  0.000
Bi  0.500  0.000  0.629
Bi  0.000  0.500  0.371
Pb  0.000  0.000  0.500
Pb  0.500  0.000  0.875
Pb  0.000  0.500  0.125